[1]
! TmScNi2 | Alexandria | PBE | relaxed; values from VASP
&SYSTEM
  ibrav = 0, nat = 4, ntyp = 3
/
ATOMIC_SPECIES
Sc 44.96 Sc.upf
Ni 58.69 Ni.upf
Tm 168.93 Tm.upf
ATOMIC_POSITIONS crystal
Sc 0.500 0.500 0.500
Ni 0.250 0.250 0.250
Ni 0.750 0.750 0.750
Tm 0.000 0.000 0.000
CELL_PARAMETERS angstrom
-1.591 4.313 -0.193
-4.106 1.020 1.807
-0.262 2.529 3.835
! E above lowest polymorph in kJ per mole of atoms: 2.0
! Energy relative to the elements in eV/atom: -0.463


[2]
! Pr4Te3Pb | Alexandria | PBE | relaxed; values from VASP
&SYSTEM
  ibrav = 0, nat = 8, ntyp = 3
/
ATOMIC_SPECIES
Pr 140.91 Pr.upf
Pb 207.20 Pb.upf
Te 127.60 Te.upf
ATOMIC_POSITIONS crystal
Pr 0.000 0.500 0.000
Pr 0.500 0.000 0.000
Pr 0.247 0.247 0.494
Pr 0.753 0.753 0.506
Pb 0.000 0.000 0.000
Te 0.500 0.500 0.000
Te 0.750 0.250 0.500
Te 0.250 0.750 0.500
CELL_PARAMETERS angstrom
-1.602 2.915 -5.514
6.019 2.214 -0.579
-0.570 -7.878 -0.238
! Formation energy (no corrections) in eV/f.u.: -10.2


[3]
! SrNpTe2O8 | Alexandria | PBE | relaxed; values from VASP
&SYSTEM
  ibrav = 0, nat = 12, ntyp = 4
/
ATOMIC_SPECIES
Sr 87.62 Sr.upf
Np 237.00 Np.upf
Te 127.60 Te.upf
O 16.00 O.upf
ATOMIC_POSITIONS crystal
Sr 0.000 0.000 0.500
Np 0.000 0.000 0.000
Te 0.333 0.667 0.792
Te 0.667 0.333 0.208
O 0.144 0.288 0.808
O 0.144 0.856 0.808
O 0.712 0.856 0.808
O 0.288 0.144 0.192
O 0.667 0.333 0.473
O 0.333 0.667 0.527
O 0.856 0.712 0.192
O 0.856 0.144 0.192
CELL_PARAMETERS angstrom
-5.531 0.052 -3.335
3.124 -5.566 0.986
-3.501 -0.939 5.793
! Formation energy (no corrections) in eV/f.u.: -21.8


[4]
! LiZr2Pt2 | Alexandria | PBE | relaxed; values from VASP
&SYSTEM
  ibrav = 0, nat = 10, ntyp = 3
/
ATOMIC_SPECIES
Zr 91.22 Zr.upf
Pt 195.08 Pt.upf
Li 6.94 Li.upf
ATOMIC_POSITIONS crystal
Zr 0.343 0.843 0.000
Zr 0.843 0.657 0.000
Zr 0.657 0.157 0.000
Zr 0.157 0.343 0.000
Pt 0.138 0.638 0.500
Pt 0.638 0.862 0.500
Pt 0.862 0.362 0.500
Pt 0.362 0.138 0.500
Li 0.000 0.000 0.000
Li 0.500 0.500 0.000
CELL_PARAMETERS angstrom
8.099 0.000 0.000
0.000 8.099 0.000
0.000 0.000 2.998
! E above lowest polymorph in kJ per mole of atoms: 12.3
! Energy relative to the elements in eV/atom: -0.678


In Å³/atom, the volume values for the records above are, in order, 17.2 33.5 20.6 19.7.